{"formula": "LiAl2Mo", "functional": "PBE", "state": "relaxed", "lattice": [[4.3679, 0.0000, 0.0000], [2.1840, 3.7827, 0.0000], [2.1840, 1.2609, 3.5664]], "species": ["Al", "Al", "Li", "Mo"], "fractional_positions": [[0.0000, 0.0000, 0.0000], [0.2500, 0.2500, 0.2500], [0.5000, 0.5000, 0.5000], [0.7500, 0.7500, 0.7500]], "energy_ev_per_atom": -4.89, "ef_mev_per_atom": 165, "total_magnetization_mub_per_cell": 0.6, "dos_ef_per_ev_cell": 4.0, "sg": "F-43m (216)"}